[1]
This record from Alexandria via LeMat-Bulk describes a relaxed structure of TiBeP3. The functional is PBE-GGA.

abc: 4.236 4.236 4.236
angles: 90.00 90.00 90.00
Fractional positions:
Be (0.000, 0.000, 0.000)
P (0.000, 0.000, 0.500)
P (0.500, 0.000, 0.000)
P (0.000, 0.500, 0.000)
Ti (0.500, 0.500, 0.500)

For the volume, the calculation gives 15.203 Å³/atom. The density of states at the Fermi level comes out at 0.93 states/eV/atom. The value obtained for the energy above the lowest structure with this stoichiometry is 0.0 kJ/mol of atoms.

---

[2]
This record from Alexandria via LeMat-Bulk describes a relaxed structure of Pr5SmCd4. The functional is PBE-GGA.

abc: 3.832 3.832 20.778
angles: 90.00 90.00 90.00
Fractional positions:
Pr (0.500, 0.500, 0.690)
Pr (0.500, 0.500, 0.310)
Pr (0.500, 0.500, 0.119)
Pr (0.500, 0.500, 0.881)
Pr (0.500, 0.500, 0.500)
Cd (0.000, 0.000, 0.595)
Cd (0.000, 0.000, 0.787)
Cd (0.000, 0.000, 0.405)
Cd (0.000, 0.000, 0.213)
Sm (0.000, 0.000, 0.000)

For the volume, the calculation gives 30.513 Å³/atom. The density of states at the Fermi level comes out at 1.23 states/eV/atom.

---

[3]
This record from Alexandria via LeMat-Bulk describes a relaxed structure of Mg2CrAu4. The functional is PBE-GGA.

abc: 4.965 4.965 7.654
angles: 71.08 71.08 90.00
Fractional positions:
Au (0.808, 0.808, 0.384)
Au (0.000, 0.500, 0.000)
Au (0.500, 0.000, 0.000)
Au (0.192, 0.192, 0.616)
Cr (0.000, 0.000, 0.000)
Mg (0.384, 0.384, 0.232)
Mg (0.616, 0.616, 0.768)

For the volume, the calculation gives 23.950 Å³/atom. The density of states at the Fermi level comes out at 0.49 states/eV/atom.

---

Q: Which energy of formation from the pure elements values were calculated for the entries above? A: 2.37, -2.45, 1.63, in eV/f.u..